# 1
# Co2CuPt (PBE, relaxed)
data_Co2CuPt
_space_group_name_H-M_alt 'R 3 m'
_space_group_IT_number 160
_space_group_name_Hall 'R 3 -2"'
_cell_length_a 2.6446
_cell_length_b 2.6446
_cell_length_c 25.1195
_cell_angle_alpha 90.00
_cell_angle_beta 90.00
_cell_angle_gamma 120.00
loop_
_atom_site_label
_atom_site_fract_x
_atom_site_fract_y
_atom_site_fract_z
Co1 0.0000 0.0000 0.0000
Co2 0.0000 0.0000 0.2581
Cu1 0.0000 0.0000 0.5095
Pt1 0.0000 0.0000 0.7543
# density of states at the Fermi level = 9.462 states/eV per cell
# total magnetic moment = 10.3 Bohr magnetons per cell
# energy = -6.084 eV/atom
# formation enthalpy at 0 K = 0.003 eV/atom

=====

# 2
# CoCu2Pt5 (PBE, relaxed)
data_CoCu2Pt5
_space_group_name_H-M_alt 'P b a m'
_space_group_IT_number 55
_cell_length_a 5.461
_cell_length_b 10.905
_cell_length_c 3.855
_cell_angle_alpha 90.00
_cell_angle_beta 90.00
_cell_angle_gamma 90.00
loop_
_space_group_symop_operation_xyz
'x,y,z'
'-x,-y,-z'
'-x,-y,z'
'x,y,-z'
'x+1/2,-y+1/2,-z'
'-x+1/2,y+1/2,z'
'-x+1/2,y+1/2,-z'
'x+1/2,-y+1/2,z'
loop_
_atom_site_label
_atom_site_fract_x
_atom_site_fract_y
_atom_site_fract_z
Co1 0.000 0.000 0.000
Cu1 0.237 0.374 0.500
Pt1 0.000 0.500 0.000
Pt2 0.018 0.756 0.000
Pt3 0.231 0.118 0.500
# density of states at the Fermi level = 22.502 states/eV per cell
# total magnetic moment = 5.7 Bohr magnetons per cell
# energy = -5.768 eV/atom
# formation enthalpy at 0 K = -0.081 eV/atom

=====

# 3
# Co2CuPt (PBE, relaxed)
data_Co2CuPt
_space_group_name_H-M_alt 'I -4 2 d'
_space_group_IT_number 122
_space_group_name_Hall 'I -4 2bw'
_cell_length_a 6.679
_cell_length_b 6.679
_cell_length_c 4.962
_cell_angle_alpha 90.00
_cell_angle_beta 90.00
_cell_angle_gamma 90.00
loop_
_atom_site_label
_atom_site_fract_x
_atom_site_fract_y
_atom_site_fract_z
Co1 0.241 0.250 0.125
Cu1 0.000 0.000 0.000
Pt1 0.000 0.000 0.500
# density of states at the Fermi level = 26.091 states/eV per cell
# total magnetic moment = 16.6 Bohr magnetons per cell
# energy = -5.615 eV/atom
# formation enthalpy at 0 K = 0.472 eV/atom

=====

# 4
# Co2CuPt2 (PBE, relaxed)
data_Co2CuPt2
_space_group_name_H-M_alt 'I 4/m m m'
_space_group_IT_number 139
_space_group_name_Hall '-I 4 2'
_cell_length_a 3.280
_cell_length_b 3.280
_cell_length_c 13.298
_cell_angle_alpha 90.00
_cell_angle_beta 90.00
_cell_angle_gamma 90.00
loop_
_atom_site_label
_atom_site_fract_x
_atom_site_fract_y
_atom_site_fract_z
Co1 0.000 0.500 0.250
Cu1 0.000 0.000 0.000
Pt1 0.000 0.000 0.398
# density of states at the Fermi level = 10.413 states/eV per cell
# total magnetic moment = 8.5 Bohr magnetons per cell
# energy = -5.876 eV/atom
# distance to the lowest polymorph of the same formula = 0.087 eV/atom
# formation enthalpy at 0 K = 0.202 eV/atom

=====

# 5
# CoCuPt5 (PBE, relaxed)
data_CoCuPt5
_space_group_name_H-M_alt 'P 4/m m m'
_space_group_IT_number 123
_space_group_name_Hall '-P 4 2'
_cell_length_a 3.879
_cell_length_b 3.879
_cell_length_c 7.220
_cell_angle_alpha 90.00
_cell_angle_beta 90.00
_cell_angle_gamma 90.00
loop_
_atom_site_label
_atom_site_fract_x
_atom_site_fract_y
_atom_site_fract_z
Co1 0.000 0.000 0.000
Cu1 0.000 0.000 0.500
Pt1 0.000 0.500 0.225
Pt2 0.500 0.500 0.500
# density of states at the Fermi level = 9.910 states/eV per cell
# total magnetic moment = 2.8 Bohr magnetons per cell
# energy = -5.858 eV/atom
# distance to the lowest polymorph of the same formula = 0.000 eV/atom
# formation enthalpy at 0 K = 0.057 eV/atom

=====

# 6
# Co2CuPt (PBE, relaxed)
data_Co2CuPt
_space_group_name_H-M_alt 'C m m 2'
_space_group_IT_number 35
_cell_length_a 2.689
_cell_length_b 4.436
_cell_length_c 8.675
_cell_angle_alpha 90.00
_cell_angle_beta 90.00
_cell_angle_gamma 90.00
loop_
_space_group_symop_operation_xyz
'x,y,z'
'-x,-y,z'
'-x,y,z'
'x,-y,z'
'x+1/2,y+1/2,z'
'-x+1/2,-y+1/2,z'
'-x+1/2,y+1/2,z'
'x+1/2,-y+1/2,z'
loop_
_atom_site_label
_atom_site_fract_x
_atom_site_fract_y
_atom_site_fract_z
Co1 0.000 0.000 0.000
Co2 0.000 0.500 0.225
Cu1 0.000 0.000 0.468
Pt1 0.000 0.500 0.734
# density of states at the Fermi level = 7.494 states/eV per cell
# total magnetic moment = 7.1 Bohr magnetons per cell
# energy = -5.971 eV/atom
# formation enthalpy at 0 K = 0.116 eV/atom

=====

# 7
# CoCu2Pt5Rh (PBE, relaxed)
data_CoCu2Pt5Rh
_space_group_name_H-M_alt 'I 4/m c m'
_space_group_IT_number 140
_space_group_name_Hall '-I 4 2c'
_cell_length_a 5.980
_cell_length_b 5.980
_cell_length_c 15.373
_cell_angle_alpha 90.00
_cell_angle_beta 90.00
_cell_angle_gamma 90.00
loop_
_atom_site_label
_atom_site_fract_x
_atom_site_fract_y
_atom_site_fract_z
Co1 0.000 0.000 0.250
Cu1 0.126 0.374 0.000
Pt1 0.000 0.000 0.000
Pt2 0.237 0.263 0.359
Rh1 0.000 0.500 0.250
# density of states at the Fermi level = 47.598 states/eV per cell
# total magnetic moment = 15.2 Bohr magnetons per cell
# energy = -5.574 eV/atom
# formation enthalpy at 0 K = 0.299 eV/atom

=====

# 8
# Co2CuPtRh (PBE, relaxed)
data_Co2CuPtRh
_space_group_name_H-M_alt 'P 4/m m m'
_space_group_IT_number 123
_space_group_name_Hall '-P 4 2'
_cell_length_a 4.544
_cell_length_b 4.544
_cell_length_c 4.606
_cell_angle_alpha 90.00
_cell_angle_beta 90.00
_cell_angle_gamma 90.00
loop_
_atom_site_label
_atom_site_fract_x
_atom_site_fract_y
_atom_site_fract_z
Co1 0.000 0.500 0.000
Cu1 0.000 0.000 0.500
Pt1 0.000 0.000 0.000
Rh1 0.500 0.500 0.500
# density of states at the Fermi level = 7.797 states/eV per cell
# total magnetic moment = 5.7 Bohr magnetons per cell
# energy = -4.963 eV/atom
# formation enthalpy at 0 K = 1.377 eV/atom

=====

# 9
# CoCuPtRh (PBE, relaxed)
data_CoCuPtRh
_space_group_name_H-M_alt 'F -4 3 m'
_space_group_IT_number 216
_space_group_name_Hall 'F -4 2 3'
_cell_length_a 6.001
_cell_length_b 6.001
_cell_length_c 6.001
_cell_angle_alpha 90.00
_cell_angle_beta 90.00
_cell_angle_gamma 90.00
loop_
_atom_site_label
_atom_site_fract_x
_atom_site_fract_y
_atom_site_fract_z
Co1 0.000 0.000 0.000
Cu1 0.000 0.000 0.500
Pt1 0.250 0.250 0.750
Rh1 0.250 0.250 0.250
# density of states at the Fermi level = 23.257 states/eV per cell
# total magnetic moment = 13.9 Bohr magnetons per cell
# energy = -6.108 eV/atom
# formation enthalpy at 0 K = 0.040 eV/atom

=====

# 10
# CoCuPtS4 (PBE, relaxed)
data_CoCuPtS4
_space_group_name_H-M_alt 'I m m a'
_space_group_IT_number 74
_space_group_name_Hall '-I 2b 2'
_cell_length_a 6.817
_cell_length_b 6.999
_cell_length_c 9.787
_cell_angle_alpha 90.00
_cell_angle_beta 90.00
_cell_angle_gamma 90.00
loop_
_atom_site_label
_atom_site_fract_x
_atom_site_fract_y
_atom_site_fract_z
Co1 0.250 0.250 0.250
Cu1 0.000 0.250 0.631
Pt1 0.000 0.000 0.000
S1 0.000 0.032 0.244
S2 0.236 0.250 0.019
# total magnetic moment = 0.0 Bohr magnetons per cell
# energy = -5.213 eV/atom
# formation energy (no corrections) = -0.391 eV per atom

=====

# 11
# Co2CuSiPt (PBE, relaxed)
data_Co2CuSiPt
_space_group_name_H-M_alt 'P 4/m m m'
_space_group_IT_number 123
_space_group_name_Hall '-P 4 2'
_cell_length_a 4.145
_cell_length_b 4.145
_cell_length_c 4.259
_cell_angle_alpha 90.00
_cell_angle_beta 90.00
_cell_angle_gamma 90.00
loop_
_atom_site_label
_atom_site_fract_x
_atom_site_fract_y
_atom_site_fract_z
Co1 0.000 0.500 0.000
Cu1 0.000 0.000 0.500
Si1 0.000 0.000 0.000
Pt1 0.500 0.500 0.500
# density of states at the Fermi level = 5.591 states/eV per cell
# total magnetic moment = 2.1 Bohr magnetons per cell
# energy = -5.345 eV/atom
# formation energy (no corrections) = 0.609 eV per atom

=====

# 12
# TaCoCuPt (PBE, relaxed)
data_TaCoCuPt
_space_group_name_H-M_alt 'F -4 3 m'
_space_group_IT_number 216
_space_group_name_Hall 'F -4 2 3'
_cell_length_a 6.106
_cell_length_b 6.106
_cell_length_c 6.106
_cell_angle_alpha 90.00
_cell_angle_beta 90.00
_cell_angle_gamma 90.00
loop_
_atom_site_label
_atom_site_fract_x
_atom_site_fract_y
_atom_site_fract_z
Ta1 0.000 0.000 0.000
Co1 0.250 0.250 0.750
Cu1 0.000 0.000 0.500
Pt1 0.250 0.250 0.250
# density of states at the Fermi level = 7.961 states/eV per cell
# total magnetic moment = 3.9 Bohr magnetons per cell
# energy = -7.535 eV/atom
# formation enthalpy at 0 K = -0.261 eV/atom

=====

# 13
# CoCuTe2Pt (PBE, relaxed)
data_CoCuTe2Pt
_space_group_name_H-M_alt 'P 4/m m m'
_space_group_IT_number 123
_space_group_name_Hall '-P 4 2'
_cell_length_a 4.872
_cell_length_b 4.872
_cell_length_c 4.740
_cell_angle_alpha 90.00
_cell_angle_beta 90.00
_cell_angle_gamma 90.00
loop_
_atom_site_label
_atom_site_fract_x
_atom_site_fract_y
_atom_site_fract_z
Co1 0.000 0.000 0.000
Cu1 0.500 0.500 0.500
Te1 0.000 0.500 0.000
Pt1 0.000 0.000 0.500
# density of states at the Fermi level = 4.942 states/eV per cell
# total magnetic moment = 1.5 Bohr magnetons per cell
# energy = -3.971 eV/atom
# formation energy (no corrections) = 0.734 eV per atom

=====

# 14
# Th2CoCuPt (PBE, relaxed)
data_Th2CoCuPt
_space_group_name_H-M_alt 'P 1 21/m 1'
_space_group_IT_number 11
_cell_length_a 7.400
_cell_length_b 3.970
_cell_length_c 7.689
_cell_angle_alpha 90.00
_cell_angle_beta 112.64
_cell_angle_gamma 90.00
loop_
_space_group_symop_operation_xyz
'x,y,z'
'-x,-y,-z'
'-x,y+1/2,-z'
'x,-y+1/2,z'
loop_
_atom_site_label
_atom_site_fract_x
_atom_site_fract_y
_atom_site_fract_z
Th1 0.026 0.250 0.216
Th2 0.369 0.750 0.640
Co1 0.102 0.250 0.608
Cu1 0.360 0.250 0.945
Pt1 0.314 0.750 0.193
# density of states at the Fermi level = 6.732 states/eV per cell
# total magnetic moment = 0.0 Bohr magnetons per cell
# energy = -7.024 eV/atom
# formation enthalpy at 0 K = -0.608 eV/atom

=====

# 15
# VCoCuPt (PBE, relaxed)
data_VCoCuPt
_space_group_name_H-M_alt 'F -4 3 m'
_space_group_IT_number 216
_space_group_name_Hall 'F -4 2 3'
_cell_length_a 5.923
_cell_length_b 5.923
_cell_length_c 5.923
_cell_angle_alpha 90.00
_cell_angle_beta 90.00
_cell_angle_gamma 90.00
loop_
_atom_site_label
_atom_site_fract_x
_atom_site_fract_y
_atom_site_fract_z
V1 0.000 0.000 0.000
Co1 0.250 0.250 0.750
Cu1 0.000 0.000 0.500
Pt1 0.250 0.250 0.250
# density of states at the Fermi level = 10.152 states/eV per cell
# total magnetic moment = 4.5 Bohr magnetons per cell
# energy = -6.749 eV/atom
# formation enthalpy at 0 K = -0.159 eV/atom

=====

# 16
# Y2CoCuPt (PBE, relaxed)
data_Y2CoCuPt
_space_group_name_H-M_alt 'P 4/m m m'
_space_group_IT_number 123
_space_group_name_Hall '-P 4 2'
_cell_length_a 5.152
_cell_length_b 5.152
_cell_length_c 4.223
_cell_angle_alpha 90.00
_cell_angle_beta 90.00
_cell_angle_gamma 90.00
loop_
_atom_site_label
_atom_site_fract_x
_atom_site_fract_y
_atom_site_fract_z
Y1 0.000 0.500 0.000
Co1 0.000 0.000 0.500
Cu1 0.000 0.000 0.000
Pt1 0.500 0.500 0.500
# density of states at the Fermi level = 5.612 states/eV per cell
# total magnetic moment = 0.9 Bohr magnetons per cell
# energy = -5.882 eV/atom
# formation enthalpy at 0 K = 0.152 eV/atom

=====

# 17
# ZnCoCuPt2 (PBE, relaxed)
data_ZnCoCuPt2
_space_group_name_H-M_alt 'P 4/m m m'
_space_group_IT_number 123
_space_group_name_Hall '-P 4 2'
_cell_length_a 4.604
_cell_length_b 4.604
_cell_length_c 4.306
_cell_angle_alpha 90.00
_cell_angle_beta 90.00
_cell_angle_gamma 90.00
loop_
_atom_site_label
_atom_site_fract_x
_atom_site_fract_y
_atom_site_fract_z
Zn1 0.000 0.000 0.000
Co1 0.500 0.500 0.000
Cu1 0.000 0.000 0.500
Pt1 0.000 0.500 0.500
# density of states at the Fermi level = 3.936 states/eV per cell
# total magnetic moment = 2.2 Bohr magnetons per cell
# energy = -3.970 eV/atom
# formation enthalpy at 0 K = 0.942 eV/atom

=====

# 18
# ZrCoCuPt (PBE, relaxed)
data_ZrCoCuPt
_space_group_name_H-M_alt 'F -4 3 m'
_space_group_IT_number 216
_space_group_name_Hall 'F -4 2 3'
_cell_length_a 6.227
_cell_length_b 6.227
_cell_length_c 6.227
_cell_angle_alpha 90.00
_cell_angle_beta 90.00
_cell_angle_gamma 90.00
loop_
_atom_site_label
_atom_site_fract_x
_atom_site_fract_y
_atom_site_fract_z
Zr1 0.000 0.000 0.000
Co1 0.250 0.250 0.250
Cu1 0.000 0.000 0.500
Pt1 0.250 0.250 0.750
# density of states at the Fermi level = 7.263 states/eV per cell
# total magnetic moment = 0.1 Bohr magnetons per cell
# energy = -6.838 eV/atom
# formation enthalpy at 0 K = -0.390 eV/atom

=====

# 19
# PuCo2Cu (PBE, relaxed)
data_PuCo2Cu
_space_group_name_H-M_alt 'F m -3 m'
_space_group_IT_number 225
_space_group_name_Hall '-F 4 2 3'
_cell_length_a 6.110
_cell_length_b 6.110
_cell_length_c 6.110
_cell_angle_alpha 90.00
_cell_angle_beta 90.00
_cell_angle_gamma 90.00
loop_
_atom_site_label
_atom_site_fract_x
_atom_site_fract_y
_atom_site_fract_z
Pu1 0.000 0.000 0.000
Co1 0.250 0.250 0.250
Cu1 0.000 0.000 0.500
# density of states at the Fermi level = 17.773 states/eV per cell
# total magnetic moment = 14.4 Bohr magnetons per cell
# energy = -8.078 eV/atom
# distance to the lowest polymorph of the same formula = 0.002 eV/atom
# formation enthalpy at 0 K = 0.082 eV/atom

=====

# 20
# Pu2CoCu3 (PBE, relaxed)
data_Pu2CoCu3
_space_group_name_H-M_alt 'R -3 m'
_space_group_IT_number 166
_space_group_name_Hall '-R 3 2"'
_cell_length_a 5.0671
_cell_length_b 5.0671
_cell_length_c 13.0871
_cell_angle_alpha 90.00
_cell_angle_beta 90.00
_cell_angle_gamma 120.00
loop_
_atom_site_label
_atom_site_fract_x
_atom_site_fract_y
_atom_site_fract_z
Pu1 0.0000 0.0000 0.1297
Co1 0.0000 0.0000 0.5000
Cu1 0.0000 0.5000 0.0000
# density of states at the Fermi level = 49.133 states/eV per cell
# total magnetic moment = 33.9 Bohr magnetons per cell
# energy = -8.034 eV/atom
# formation enthalpy at 0 K = -0.024 eV/atom